Computed, not measured: a geometry-optimized Sr2CaCdO4 structure at the PBE level of DFT.

Calculated values
Density of states at the Fermi level ... 0.00 states/eV per atom
Raw formation energy ... -2.35 eV per atom
Density ... 5.193 g/cm³

Unit cell a=6.103 b=3.554 c=6.140 alpha=90.00 beta=109.87 gamma=90.00
Atoms (fractional coordinates):
Sr1 0.000 0.000 0.000
Sr2 0.000 0.500 0.500
Ca1 0.500 0.000 0.500
Cd1 0.500 0.500 0.000
O1 0.261 0.500 0.259
O2 0.262 0.000 0.751
O3 0.738 0.000 0.249
O4 0.739 0.500 0.741

Computed, not measured: a geometry-optimized TlNi2Pt structure at the PBE level of DFT.

Calculated values
Density of states at the Fermi level ... 1.18 states/eV per atom
Density ... 13.597 g/cm³
Energy relative to the lowest polymorph listed for this composition ... 0.2671 eV/atom

Unit cell a=2.948 b=2.948 c=25.162 alpha=90.00 beta=90.00 gamma=120.00
Atoms (fractional coordinates):
Tl1 0.000 0.000 0.000
Tl2 0.333 0.667 0.667
Tl3 0.667 0.333 0.333
Ni1 0.000 0.000 0.246
Ni2 0.000 0.000 0.510
Ni3 0.333 0.667 0.176
Ni4 0.333 0.667 0.912
Ni5 0.667 0.333 0.579
Ni6 0.667 0.333 0.843
Pt1 0.000 0.000 0.764
Pt2 0.333 0.667 0.431
Pt3 0.667 0.333 0.098

Computed, not measured: a geometry-optimized Na4InBr5 structure at the PBE level of DFT.

Calculated values
Density of states at the Fermi level ... 0.00 states/eV per atom
Raw formation energy ... -1.36 eV per atom
Density ... 3.386 g/cm³

Unit cell a=11.635 b=11.635 c=11.635 alpha=158.60 beta=148.80 gamma=38.15
Atoms (fractional coordinates):
Na1 0.103 0.103 0.000
Na2 0.294 0.294 0.000
Na3 0.706 0.706 0.000
Na4 0.897 0.897 0.000
In1 0.500 0.500 0.000
Br1 0.000 0.500 0.500
Br2 0.199 0.699 0.500
Br3 0.387 0.887 0.500
Br4 0.613 0.113 0.500
Br5 0.801 0.301 0.500

Computed, not measured: a geometry-optimized TbPm12Ni6 structure at the PBE level of DFT.

Calculated values
Density of states at the Fermi level ... 1.34 states/eV per atom
Density ... 7.281 g/cm³
Total energy ... -5.2543 eV/atom

Unit cell a=8.737 b=8.737 c=8.737 alpha=109.47 beta=109.47 gamma=109.47
Atoms (fractional coordinates):
Tb1 0.000 0.000 0.000
Pm1 0.127 0.312 0.815
Pm2 0.185 0.497 0.312
Pm3 0.185 0.873 0.688
Pm4 0.312 0.185 0.497
Pm5 0.312 0.815 0.127
Pm6 0.497 0.312 0.185
Pm7 0.503 0.688 0.815
Pm8 0.688 0.185 0.873
Pm9 0.688 0.815 0.503
Pm10 0.815 0.127 0.312
Pm11 0.815 0.503 0.688
Pm12 0.873 0.688 0.185
Ni1 0.122 0.500 0.622
Ni2 0.378 0.878 0.500
Ni3 0.500 0.378 0.878
Ni4 0.500 0.622 0.122
Ni5 0.622 0.122 0.500
Ni6 0.878 0.500 0.378

Computed, not measured: a geometry-optimized Na2HoPdO4 structure at the PBE level of DFT.

Calculated values
Density of states at the Fermi level ... 0.16 states/eV per atom
Raw formation energy ... -1.79 eV per atom
Density ... 6.160 g/cm³

Unit cell a=5.446 b=3.389 c=5.872 alpha=90.00 beta=108.46 gamma=90.00
Atoms (fractional coordinates):
Na1 0.000 0.000 0.000
Na2 0.500 0.500 0.000
Ho1 0.000 0.500 0.500
Pd1 0.500 0.000 0.500
O1 0.249 0.000 0.711
O2 0.270 0.500 0.280
O3 0.730 0.500 0.720
O4 0.751 0.000 0.289

Computed, not measured: a geometry-optimized Tl2ReBr structure at the PBE level of DFT.

Calculated values
Density of states at the Fermi level ... 0.36 states/eV per atom
Raw formation energy ... 0.79 eV per atom
Density ... 9.307 g/cm³
Energy relative to the lowest polymorph listed for this composition ... 0.1759 eV/atom

Unit cell a=3.537 b=4.204 c=8.098 alpha=90.00 beta=90.00 gamma=90.00
Atoms (fractional coordinates):
Tl1 0.000 0.000 0.000
Tl2 0.500 0.500 0.385
Re1 0.500 0.500 0.030
Br1 0.000 0.000 0.580

Computed, not measured: a geometry-optimized Sm12Ni6Au structure at the PBE level of DFT.

Calculated values
Density of states at the Fermi level ... 1.02 states/eV per atom
Density ... 8.210 g/cm³
Total energy ... -5.2906 eV/atom

Unit cell a=8.519 b=8.519 c=8.519 alpha=109.47 beta=109.47 gamma=109.47
Atoms (fractional coordinates):
Sm1 0.117 0.302 0.814
Sm2 0.186 0.488 0.302
Sm3 0.186 0.883 0.698
Sm4 0.302 0.186 0.488
Sm5 0.302 0.814 0.117
Sm6 0.488 0.302 0.186
Sm7 0.512 0.698 0.814
Sm8 0.698 0.186 0.883
Sm9 0.698 0.814 0.512
Sm10 0.814 0.117 0.302
Sm11 0.814 0.512 0.698
Sm12 0.883 0.698 0.186
Ni1 0.124 0.500 0.624
Ni2 0.376 0.876 0.500
Ni3 0.500 0.376 0.876
Ni4 0.500 0.624 0.124
Ni5 0.624 0.124 0.500
Ni6 0.876 0.500 0.376
Au1 0.000 0.000 0.000

Computed, not measured: a geometry-optimized NaDy2Tm3Se6 structure at the PBE level of DFT.

Calculated values
Density of states at the Fermi level ... 0.29 states/eV per atom
Raw formation energy ... -1.71 eV per atom
Density ... 7.754 g/cm³

Unit cell a=9.100 b=9.100 c=8.171 alpha=103.22 beta=103.22 gamma=25.63
Atoms (fractional coordinates):
Na1 0.000 0.000 0.000
Dy1 0.329 0.329 0.656
Dy2 0.671 0.671 0.344
Tm1 0.000 0.000 0.500
Tm2 0.335 0.335 0.174
Tm3 0.665 0.665 0.826
Se1 0.163 0.163 0.587
Se2 0.169 0.169 0.080
Se3 0.499 0.499 0.744
Se4 0.501 0.501 0.256
Se5 0.831 0.831 0.920
Se6 0.837 0.837 0.413

Computed, not measured: a geometry-optimized CaY2In structure at the PBE level of DFT.

Calculated values
Density of states at the Fermi level ... 1.59 states/eV per atom
Density ... 4.481 g/cm³
Total energy ... -4.5996 eV/atom

Unit cell a=3.943 b=5.412 c=11.555 alpha=90.00 beta=90.00 gamma=90.00
Atoms (fractional coordinates):
Ca1 0.000 0.000 0.000
Ca2 0.500 0.500 0.500
Y1 0.000 0.000 0.555
Y2 0.000 0.500 0.781
Y3 0.500 0.000 0.281
Y4 0.500 0.500 0.055
In1 0.000 0.500 0.277
In2 0.500 0.000 0.777

Computed, not measured: a geometry-optimized PmDyThHg structure at the PBE level of DFT.

Calculated values
Density of states at the Fermi level ... 1.77 states/eV per atom
Density ... 10.632 g/cm³
Total energy ... -4.2392 eV/atom

Unit cell a=7.733 b=7.733 c=7.733 alpha=90.00 beta=90.00 gamma=90.00
Atoms (fractional coordinates):
Pm1 0.000 0.000 0.000
Pm2 0.000 0.500 0.500
Pm3 0.500 0.000 0.500
Pm4 0.500 0.500 0.000
Dy1 0.250 0.250 0.250
Dy2 0.250 0.750 0.750
Dy3 0.750 0.250 0.750
Dy4 0.750 0.750 0.250
Th1 0.250 0.250 0.750
Th2 0.250 0.750 0.250
Th3 0.750 0.250 0.250
Th4 0.750 0.750 0.750
Hg1 0.000 0.000 0.500
Hg2 0.000 0.500 0.000
Hg3 0.500 0.000 0.000
Hg4 0.500 0.500 0.500

Computed, not measured: a geometry-optimized K12Rb5Na2 structure at the PBE level of DFT.

Calculated values
Density of states at the Fermi level ... 0.66 states/eV per atom
Density ... 1.110 g/cm³
Energy relative to the lowest polymorph listed for this composition ... 0.0027 eV/atom

Unit cell a=13.434 b=13.434 c=12.276 alpha=101.97 beta=101.97 gamma=40.74
Atoms (fractional coordinates):
K1 0.017 0.017 0.327
K2 0.092 0.580 0.489
K3 0.149 0.610 0.152
K4 0.390 0.851 0.848
K5 0.420 0.908 0.511
K6 0.442 0.442 0.815
K7 0.558 0.558 0.185
K8 0.580 0.092 0.489
K9 0.610 0.149 0.152
K10 0.851 0.390 0.848
K11 0.908 0.420 0.511
K12 0.983 0.983 0.673
Rb1 0.180 0.180 0.179
Rb2 0.269 0.269 0.826
Rb3 0.500 0.500 0.500
Rb4 0.731 0.731 0.174
Rb5 0.820 0.820 0.821
Na1 0.174 0.826 0.000
Na2 0.826 0.174 0.000

Computed, not measured: a geometry-optimized LiHoTh structure at the PBE level of DFT.

Calculated values
Density of states at the Fermi level ... 1.02 states/eV per atom
Density ... 8.081 g/cm³
Energy relative to the lowest polymorph listed for this composition ... 0.0668 eV/atom

Unit cell a=3.631 b=3.631 c=12.592 alpha=90.00 beta=90.00 gamma=90.00
Atoms (fractional coordinates):
Li1 0.000 0.000 0.000
Li2 0.500 0.500 0.500
Ho1 0.000 0.000 0.652
Ho2 0.500 0.500 0.152
Th1 0.000 0.000 0.337
Th2 0.500 0.500 0.837

Computed, not measured: a geometry-optimized Pu2RhI structure at the PBE level of DFT.

Calculated values
Density of states at the Fermi level ... 3.90 states/eV per atom
Raw formation energy ... -0.49 eV per atom
Density ... 11.978 g/cm³
Energy relative to the lowest polymorph listed for this composition ... 0.0357 eV/atom

Unit cell a=3.557 b=3.557 c=7.865 alpha=90.00 beta=90.00 gamma=90.00
Atoms (fractional coordinates):
Pu1 0.000 0.000 0.205
Pu2 0.000 0.000 0.795
Rh1 0.500 0.500 0.000
I1 0.500 0.500 0.500